# VCrW | Alexandria via LeMat-Bulk | PBE-GGA | relaxed
# Distance to the lowest polymorph of the same formula (meV/atom): 37
# Energy of formation from the pure elements (eV per atom): -0.029
# Magnetic moment (μB/atom): 0.000
data_VCrW
_chemical_formula_sum 'V2 Cr2 W2'
_cell_length_a 3.0222
_cell_length_b 3.0222
_cell_length_c 9.0485
_cell_angle_alpha 90.00
_cell_angle_beta 90.00
_cell_angle_gamma 90.00
_symmetry_space_group_name_H-M 'P 4/n m m'
_symmetry_Int_Tables_number 129
loop_
_symmetry_equiv_pos_as_xyz
'x,y,z'
'-x,-y,-z'
'-y+1/2,x,z'
'y+1/2,-x,-z'
'-x+1/2,-y+1/2,z'
'x+1/2,y+1/2,-z'
'y,-x+1/2,z'
'-y,x+1/2,-z'
'x+1/2,-y,-z'
'-x+1/2,y,z'
'-y,-x,-z'
'y,x,z'
'-x,y+1/2,-z'
'x,-y+1/2,z'
'y+1/2,x+1/2,-z'
'-y+1/2,-x+1/2,z'
loop_
_atom_site_label
_atom_site_type_symbol
_atom_site_fract_x
_atom_site_fract_y
_atom_site_fract_z
V1 V 0.2500 0.2500 0.2353
Cr1 Cr 0.2500 0.2500 0.9240
W1 W 0.2500 0.2500 0.5914